Entry from the Alexandria database: a relaxed MgNiOF2 crystal (PBE+U).

Results
As for the raw total energy: -21.9 eV/f.u. Its volume is 57 Å³/cell. The total magnetic moment comes out at 2.0 μB per formula unit.

The structure in POSCAR format:
```
MgNiOF2
1.0
3.6811 0.0000 0.0000
0.0000 3.6811 0.0000
0.0000 0.0000 4.2142
Mg Ni O F
1 1 1 2
direct
0.0000 0.0000 0.0000
0.5000 0.5000 0.5000
0.0000 0.0000 0.5000
0.0000 0.5000 0.0000
0.5000 0.0000 0.0000
```